[1]
Here is ZnAs2Br after structural relaxation from the Alexandria database. Energies are from GGA-PBEsol.

Structure (POSCAR):
```
ZnAs2Br
1.0
-2.301 1.147 0.750
-2.565 -4.184 -1.472
1.958 -0.380 6.586
Br As Zn
1 2 1
Direct
0.500 0.000 0.000 Br
0.000 0.500 0.500 As
0.000 0.000 0.500 As
0.500 0.500 0.000 Zn
```

## Properties
Final energy ... -12.17 eV per formula unit
Relative energy among the computed polymorphs ... 0.5053 eV per atom
Magnetization ... 0.0 μB/f.u.
Formation energy (no corrections) ... 0.373 eV per atom

---

[2]
Here is Ta2CrCuGe after structural relaxation from the Alexandria database. Energies are from GGA-PBEsol.

Structure (POSCAR):
```
Ta2CrCuGe
1.0
4.436 0.000 0.000
0.000 4.529 0.000
0.000 0.000 4.529
Ge Ta Cr Cu
1 2 1 1
Direct
0.500 0.000 0.000 Ge
0.000 0.000 0.500 Ta
0.000 0.500 0.000 Ta
0.000 0.000 0.000 Cr
0.500 0.500 0.500 Cu
```

## Properties
Final energy ... -39.33 eV per formula unit
Magnetization ... 0.0 μB/f.u.
Calculated formation energy ... 1.058 eV/atom

---

[3]
Here is BeTlTc after structural relaxation from the Alexandria database. Energies are from GGA-PBEsol.

Structure (POSCAR):
```
BeTlTc
1.0
-2.264 2.987 -1.448
-1.872 -0.428 -3.530
-3.998 -0.386 -0.120
Tl Be Tc
1 1 1
Direct
0.500 0.500 0.500 Tl
0.250 0.250 0.250 Be
0.000 0.000 0.000 Tc
```

## Properties
Final energy ... -15.92 eV per formula unit
Relative energy among the computed polymorphs ... 0.0060 eV per atom
Magnetization ... 0.0 μB/f.u.
Calculated formation energy ... 0.660 eV/atom

---

[4]
Here is LiTlFe2Bi after structural relaxation from the Alexandria database. Energies are from GGA-PBEsol.

Structure (POSCAR):
```
LiTlFe2Bi
1.0
4.923 0.000 0.000
0.000 4.923 0.000
0.000 0.000 4.988
Li Tl Bi Fe
1 1 1 2
Direct
0.000 0.000 0.500 Li
0.500 0.500 0.500 Tl
0.000 0.000 0.000 Bi
0.500 0.000 0.000 Fe
0.000 0.500 0.000 Fe
```

## Properties
Final energy ... -22.03 eV per formula unit
Magnetization ... 5.3 μB/f.u.
Calculated formation energy ... 0.956 eV/atom

---

[5]
Here is Mg2MoRu after structural relaxation from the Alexandria database. Energies are from GGA-PBEsol.

Structure (POSCAR):
```
Mg2MoRu
1.0
4.429 0.000 0.000
2.214 3.835 0.000
2.214 1.278 3.616
Mo Mg Ru
1 2 1
Direct
0.500 0.500 0.500 Mo
0.000 0.000 0.000 Mg
0.250 0.250 0.250 Mg
0.750 0.750 0.750 Ru
```

## Properties
Final energy ... -24.84 eV per formula unit
Relative energy among the computed polymorphs ... 0.1046 eV per atom
Magnetization ... 0.0 μB/f.u.
Calculated formation energy ... 0.133 eV/atom

---

[6]
Here is VAsRh after structural relaxation from the Alexandria database. Energies are from GGA-PBEsol.

Structure (POSCAR):
```
VAsRh
1.0
3.858 0.000 0.000
0.000 6.034 0.000
0.000 0.000 7.211
Rh V As
4 4 4
Direct
0.250 0.144 0.437 Rh
0.750 0.856 0.563 Rh
0.750 0.356 0.937 Rh
0.250 0.644 0.063 Rh
0.750 0.469 0.318 V
0.250 0.031 0.818 V
0.750 0.969 0.182 V
0.250 0.531 0.682 V
0.750 0.260 0.618 As
0.250 0.740 0.382 As
0.250 0.240 0.118 As
0.750 0.760 0.882 As
```

## Properties
Final energy ... -24.37 eV per formula unit
Magnetization ... 0.9 μB/f.u.
Calculated formation energy ... -0.498 eV/atom

---

[7]
Here is CrCoN2 after structural relaxation from the Alexandria database. Energies are from GGA-PBEsol.

Structure (POSCAR):
```
CrCoN2
1.0
-0.974 -2.303 3.422
2.921 -2.868 -1.099
1.951 4.700 1.095
N Cr Co
4 2 2
Direct
0.125 0.132 0.750 N
0.625 0.618 0.750 N
0.868 0.375 0.250 N
0.382 0.875 0.250 N
0.750 0.250 0.500 Cr
0.500 0.500 0.000 Cr
0.000 0.000 0.000 Co
0.250 0.750 0.500 Co
```

## Properties
Final energy ... -36.53 eV per formula unit
Relative energy among the computed polymorphs ... 0.0000 eV per atom
Magnetization ... 0.7 μB/f.u.
Formation energy (no corrections) ... -0.374 eV per atom

---

[8]
Here is RuCl3 after structural relaxation from the Alexandria database. Energies are from GGA-PBEsol.

Structure (POSCAR):
```
RuCl3
1.0
5.592 0.000 0.000
0.000 6.127 0.000
0.000 -3.063 5.306
Cl Ru
6 2
Direct
0.750 0.696 0.696 Cl
0.250 0.000 0.696 Cl
0.250 0.696 0.000 Cl
0.750 0.000 0.304 Cl
0.250 0.304 0.304 Cl
0.750 0.304 0.000 Cl
0.500 0.000 0.000 Ru
0.000 0.000 0.000 Ru
```

## Properties
Final energy ... -18.40 eV per formula unit
Magnetization ... 0.0 μB/f.u.
Formation energy (no corrections) ... -0.550 eV per atom

---

[9]
Here is BeNbRe2W after structural relaxation from the Alexandria database. Energies are from GGA-PBEsol.

Structure (POSCAR):
```
BeNbRe2W
1.0
4.130 0.000 0.000
0.000 4.130 0.000
0.000 0.000 4.284
Re W Nb Be
2 1 1 1
Direct
0.500 0.000 0.000 Re
0.000 0.500 0.000 Re
0.500 0.500 0.500 W
0.000 0.000 0.500 Nb
0.000 0.000 0.000 Be
```

## Properties
Final energy ... -51.87 eV per formula unit
Magnetization ... 0.0 μB/f.u.
Calculated formation energy ... 0.685 eV/atom

---

[10]
Here is Ca2ZnCr after structural relaxation from the Alexandria database. Energies are from GGA-PBEsol.

Structure (POSCAR):
```
Ca2ZnCr
1.0
-0.668 2.016 2.755
1.835 -2.155 2.023
6.802 4.352 -1.535
Ca Zn Cr
2 1 1
Direct
0.500 0.500 0.690 Ca
0.000 0.000 0.066 Ca
0.500 0.500 0.311 Zn
0.000 0.000 0.433 Cr
```

## Properties
Final energy ... -14.93 eV per formula unit
Magnetization ... 3.8 μB/f.u.
Calculated formation energy ... 0.291 eV/atom

---

[11]
Here is Mg2SnAu2 after structural relaxation from the Alexandria database. Energies are from GGA-PBEsol.

Structure (POSCAR):
```
Mg2SnAu2
1.0
3.339 0.000 0.000
0.000 7.604 0.000
0.000 0.000 7.604
Mg Au Sn
4 4 2
Direct
0.500 0.840 0.340 Mg
0.500 0.660 0.840 Mg
0.500 0.340 0.160 Mg
0.500 0.160 0.660 Mg
0.000 0.135 0.365 Au
0.000 0.365 0.865 Au
0.000 0.635 0.135 Au
0.000 0.865 0.635 Au
0.000 0.000 0.000 Sn
0.000 0.500 0.500 Sn
```

## Properties
Final energy ... -17.84 eV per formula unit
Magnetization ... 0.0 μB/f.u.
Calculated formation energy ... -0.459 eV/atom

---

[12]
Here is SbOsSN2 after structural relaxation from the Alexandria database. Energies are from GGA-PBEsol.

Structure (POSCAR):
```
SbOsSN2
1.0
3.853 0.000 0.000
0.000 3.853 0.000
0.000 0.000 4.940
N S Os Sb
2 1 1 1
Direct
0.500 0.000 0.000 N
0.000 0.500 0.000 N
0.000 0.000 0.500 S
0.000 0.000 0.000 Os
0.500 0.500 0.500 Sb
```

## Properties
Final energy ... -35.20 eV per formula unit
Relative energy among the computed polymorphs ... 0.0000 eV per atom
Magnetization ... 0.0 μB/f.u.
Formation energy (no corrections) ... 0.603 eV per atom